Computed, not measured: a geometry-optimized ReAg3P structure at the PBE level of DFT.

The structure in CIF format:
```
data_ReAg3P
_cell_length_a 5.0442
_cell_length_b 5.0442
_cell_length_c 5.0442
_cell_angle_alpha 90.00
_cell_angle_beta 90.00
_cell_angle_gamma 90.00
_symmetry_space_group_name_H-M 'P m -3 m'
_symmetry_Int_Tables_number 221
_symmetry_space_group_name_Hall '-P 4 2 3'
loop_
_atom_site_label
_atom_site_type_symbol
_atom_site_fract_x
_atom_site_fract_y
_atom_site_fract_z
_atom_site_occupancy
Re1 Re 0.0000 0.0000 0.0000 1
Ag1 Ag 0.0000 0.0000 0.5000 1
P1 P 0.5000 0.5000 0.5000 1
```

Computed properties:
Calculated volume, Å³ per atom: 25.7
Excess energy over the best structure of this formula in the dataset, eV per atom: 0.711
Electronic total energy, eV per atom: -3.26
Magnetization, μB/f.u.: 1.23
ΔE_f, kcal/mol of atoms: 46.670

Computed, not measured: a geometry-optimized Fe2OsAu structure at the PBE level of DFT.

The structure in CIF format:
```
data_Fe2OsAu
_cell_length_a 3.8987
_cell_length_b 3.8987
_cell_length_c 7.3218
_cell_angle_alpha 90.00
_cell_angle_beta 90.00
_cell_angle_gamma 90.00
_symmetry_space_group_name_H-M 'I 4/m m m'
_symmetry_Int_Tables_number 139
_symmetry_space_group_name_Hall '-I 4 2'
loop_
_atom_site_label
_atom_site_type_symbol
_atom_site_fract_x
_atom_site_fract_y
_atom_site_fract_z
_atom_site_occupancy
Fe1 Fe 0.0000 0.5000 0.2500 1
Os1 Os 0.0000 0.0000 0.0000 1
Au1 Au 0.0000 0.0000 0.5000 1
```

Computed properties:
Calculated volume, Å³ per atom: 13.9
Excess energy over the best structure of this formula in the dataset, eV per atom: 0.152
Electronic total energy, eV per atom: -7.50
Magnetization, μB/f.u.: 5.28
ΔE_f, kcal/mol of atoms: 8.156

Computed, not measured: a geometry-optimized CaAg2Au structure at the PBE level of DFT.

The structure in CIF format:
```
data_CaAg2Au
_cell_length_a 4.2658
_cell_length_b 4.2658
_cell_length_c 4.5864
_cell_angle_alpha 90.00
_cell_angle_beta 90.00
_cell_angle_gamma 90.00
_symmetry_space_group_name_H-M 'P 4/m m m'
_symmetry_Int_Tables_number 123
_symmetry_space_group_name_Hall '-P 4 2'
loop_
_atom_site_label
_atom_site_type_symbol
_atom_site_fract_x
_atom_site_fract_y
_atom_site_fract_z
_atom_site_occupancy
Ca1 Ca 0.0000 0.0000 0.0000 1
Ag1 Ag 0.0000 0.5000 0.5000 1
Au1 Au 0.5000 0.5000 0.0000 1
```

Computed properties:
Calculated volume, Å³ per atom: 20.9
Electronic total energy, eV per atom: -3.05
Magnetization, μB/f.u.: 0.00
ΔE_f, kcal/mol of atoms: -6.951

Computed, not measured: a geometry-optimized NiTeAs structure at the PBE level of DFT.

The structure in CIF format:
```
data_NiTeAs
_cell_length_a 6.2296
_cell_length_b 6.2296
_cell_length_c 6.2296
_cell_angle_alpha 90.00
_cell_angle_beta 90.00
_cell_angle_gamma 90.00
_symmetry_space_group_name_H-M 'F -4 3 m'
_symmetry_Int_Tables_number 216
_symmetry_space_group_name_Hall 'F -4 2 3'
loop_
_atom_site_label
_atom_site_type_symbol
_atom_site_fract_x
_atom_site_fract_y
_atom_site_fract_z
_atom_site_occupancy
Ni1 Ni 0.0000 0.0000 0.0000 1
Te1 Te 0.2500 0.2500 0.7500 1
As1 As 0.2500 0.2500 0.2500 1
```

Computed properties:
Calculated volume, Å³ per atom: 20.1
Formation energy from raw total energies, eV/f.u.: 0.029
Electronic total energy, eV per atom: -4.51
Magnetization, μB/f.u.: 0.00

Computed, not measured: a geometry-optimized NdPaAsN2 structure at the PBE level of DFT.

The structure in CIF format:
```
data_NdPaAsN2
_cell_length_a 3.9232
_cell_length_b 3.9232
_cell_length_c 12.9058
_cell_angle_alpha 90.00
_cell_angle_beta 90.00
_cell_angle_gamma 90.00
_symmetry_space_group_name_H-M 'I 4 m m'
_symmetry_Int_Tables_number 107
_symmetry_space_group_name_Hall 'I 4 -2'
loop_
_atom_site_label
_atom_site_type_symbol
_atom_site_fract_x
_atom_site_fract_y
_atom_site_fract_z
_atom_site_occupancy
Nd1 Nd 0.0000 0.0000 0.0000 1
Pa1 Pa 0.0000 0.0000 0.3201 1
As1 As 0.0000 0.0000 0.6612 1
N1 N 0.0000 0.5000 0.3947 1
```

Computed properties:
Calculated volume, Å³ per atom: 19.9
Formation energy from raw total energies, eV/f.u.: -6.777
Electronic total energy, eV per atom: -8.47
Magnetization, μB/f.u.: 0.00

Computed, not measured: a geometry-optimized Dy2YSc4 structure at the PBE level of DFT.

The structure in CIF format:
```
data_Dy2YSc4
_cell_length_a 10.6130
_cell_length_b 11.0514
_cell_length_c 3.3693
_cell_angle_alpha 90.00
_cell_angle_beta 90.00
_cell_angle_gamma 90.00
_symmetry_space_group_name_H-M 'C m m m'
_symmetry_Int_Tables_number 65
_symmetry_space_group_name_Hall '-C 2 2'
loop_
_atom_site_label
_atom_site_type_symbol
_atom_site_fract_x
_atom_site_fract_y
_atom_site_fract_z
_atom_site_occupancy
Dy1 Dy 0.1949 0.0000 0.0000 1
Y1 Y 0.0000 0.5000 0.5000 1
Sc1 Sc 0.0000 0.2282 0.0000 1
Sc2 Sc 0.2500 0.2500 0.5000 1
```

Computed properties:
Calculated volume, Å³ per atom: 28.2
Excess energy over the best structure of this formula in the dataset, eV per atom: 0.006
Electronic total energy, eV per atom: -5.68
Magnetization, μB/f.u.: 0.00
ΔE_f, kcal/mol of atoms: 4.009